## RbPuSb2Au2 (PBE)

Data for a geometry-optimized RbPuSb2Au2 structure.

Final energy, eV for the cell shown: -33.2
Space-group type: P-3m1
Raw formation energy, kJ/mol of atoms: -49

abc: 4.7288 4.7288 9.3699
angles: 90.00 90.00 120.00
Closest atoms and distances in Å follow each position.
Fractional positions:
Sb: 0.6667 0.3333 0.2889  3 Au 2.74
Rb: 0.0000 0.0000 0.0000  6 Sb 3.84, 6 Au 4.02
Au: 0.3333 0.6667 0.3154  3 Sb 2.74
Sb: 0.3333 0.6667 0.7111  3 Au 2.74
Au: 0.6667 0.3333 0.6846  3 Sb 2.74
Pu: 0.0000 0.0000 0.5000  6 Au 3.23, 6 Sb 3.37



## Rb4Pu3AuSe8 (PBE)

Data for a geometry-optimized Rb4Pu3AuSe8 structure.

Final energy, eV for the cell shown: -96.4
Space-group type: C2/m
Raw formation energy, kJ/mol of atoms: -111

abc: 8.3379 9.3413 8.7434
angles: 117.56 118.48 90.00
Closest atoms and distances in Å follow each position.
Fractional positions:
Se: 0.2557 0.3211 0.0460  1 Au 2.70, 2 Pu 2.92-2.98
Rb: 0.5000 0.0000 0.5000  6 Se 3.40-3.66
Pu: 0.5000 0.5000 0.5000  6 Se 2.83-2.98
Au: 0.0000 0.5000 0.0000  4 Se 2.70
Se: 0.2097 0.6789 0.9540  1 Au 2.70, 2 Pu 2.92-2.98
Se: 0.7443 0.6789 0.9540  1 Au 2.70, 2 Pu 2.92-2.98
Se: 0.2588 0.7116 0.5176  2 Pu 2.83
Rb: 0.0000 0.0000 0.0000  6 Se 3.43-3.60
Pu: 0.0000 0.5000 0.5000  6 Se 2.83-2.98
Pu: 0.5000 0.5000 0.0000  6 Se 2.92-2.99
Se: 0.2713 0.3044 0.5425  3 Pu 2.90-2.99
Se: 0.7412 0.2884 0.4824  2 Pu 2.83
Se: 0.7903 0.3211 0.0460  1 Au 2.70, 2 Pu 2.92-2.98
Se: 0.7287 0.6956 0.4575  3 Pu 2.90-2.99
Rb: 0.0000 0.0000 0.5000  6 Se 3.40-3.66
Rb: 0.5000 0.0000 0.0000  6 Se 3.24-3.60



## RbPuAuSe2 (PBE)

Data for a geometry-optimized RbPuAuSe2 structure.

Final energy, eV for the cell shown: -60.4
Space-group type: P2/c
Raw formation energy, kJ/mol of atoms: -90

abc: 5.2792 8.0895 7.9840
angles: 102.09 90.00 90.00
Closest atoms and distances in Å follow each position.
Fractional positions:
Se: 0.3086 0.7596 0.4544  1 Au 2.50
Se: 0.6914 0.7596 0.9544  1 Au 2.50
Se: 0.3086 0.2404 0.0456  1 Au 2.50
Rb: 0.1816 0.5000 0.7500  6 Se 3.51-3.59
Au: 0.0000 0.0000 0.0000  2 Se 2.50
Pu: 0.5120 0.0000 0.7500  4 Se 2.93-2.94, 2 Au 3.26
Rb: 0.8184 0.5000 0.2500  6 Se 3.51-3.59
Se: 0.6914 0.2404 0.5456  1 Au 2.50
Au: 0.0000 0.0000 0.5000  2 Se 2.50
Pu: 0.4880 0.0000 0.2500  4 Se 2.93-2.94, 2 Au 3.26



## Rb2PuAuSe4 (PBE)

Data for a geometry-optimized Rb2PuAuSe4 structure.

Final energy, eV for the cell shown: -79.4
Space-group type: Fddd
Raw formation energy, kJ/mol of atoms: -75

abc: 6.5207 8.0598 12.8412
angles: 84.10 75.29 66.14
Closest atoms and distances in Å follow each position.
Fractional positions:
Se: 0.9079 0.7794 0.8941  1 Au 2.63, 1 Pu 2.67
Rb: 0.1809 0.0000 0.6382  8 Se 3.67-3.94
Rb: 0.5691 0.5000 0.8618  8 Se 3.67-3.94
Pu: 0.0000 0.0000 0.0000  4 Se 2.67
Se: 0.1686 0.2794 0.3941  1 Au 2.63, 1 Pu 2.67
Se: 0.4373 0.7206 0.3941  1 Au 2.63, 1 Pu 2.67
Se: 0.5520 0.2794 0.6059  1 Au 2.63, 1 Pu 2.67
Au: 0.5000 0.0000 0.0000  4 Se 2.63
Au: 0.2500 0.5000 0.5000  4 Se 2.63
Se: 0.3127 0.7794 0.1059  1 Au 2.63, 1 Pu 2.67
Rb: 0.8191 0.0000 0.3618  8 Se 3.67-3.94
Se: 0.1980 0.2206 0.8941  1 Au 2.63, 1 Pu 2.67
Se: 0.5814 0.2206 0.1059  1 Au 2.63, 1 Pu 2.67
Se: 0.8421 0.7206 0.6059  1 Au 2.63, 1 Pu 2.67
Pu: 0.7500 0.5000 0.5000  4 Se 2.67
Rb: 0.9309 0.5000 0.1382  8 Se 3.67-3.94



## RbPuAuSe3 (PBE)

Data for a geometry-optimized RbPuAuSe3 structure.

Final energy, eV for the cell shown: -70.6
Space-group type: Cmcm
Raw formation energy, kJ/mol of atoms: -101

abc: 4.2367 8.0022 10.7362
angles: 90.00 90.00 105.35
Closest atoms and distances in Å follow each position.
Fractional positions:
Rb: 0.7486 0.4971 0.7500  8 Se 3.55-3.68, 2 Au 3.83
Au: 0.5446 0.0891 0.2500  4 Se 2.56-2.70
Pu: 0.0000 0.0000 0.0000  6 Se 2.86-2.87
Se: 0.3772 0.7544 0.9607  1 Au 2.56
Se: 0.0639 0.1279 0.7500  2 Au 2.70, 2 Pu 2.86
Pu: 0.0000 0.0000 0.5000  6 Se 2.86-2.87
Se: 0.9361 0.8721 0.2500  2 Au 2.70, 2 Pu 2.86
Se: 0.3772 0.7544 0.5393  1 Au 2.56
Rb: 0.2514 0.5029 0.2500  8 Se 3.55-3.68, 2 Au 3.83
Au: 0.4554 0.9109 0.7500  4 Se 2.56-2.70
Se: 0.6228 0.2456 0.4607  1 Au 2.56
Se: 0.6228 0.2456 0.0393  1 Au 2.56



## Rb3Pu3AuSe8 (PBE)

Data for a geometry-optimized Rb3Pu3AuSe8 structure.

Final energy, eV for the cell shown: -94.0
Space-group type: C2/m
Raw formation energy, kJ/mol of atoms: -109

abc: 8.1742 8.6058 9.5100
angles: 118.42 90.00 118.35
Closest atoms and distances in Å follow each position.
Fractional positions:
Au: 0.0000 0.0000 0.5000  4 Se 2.58
Se: 0.2692 0.5384 0.3024  3 Pu 2.89-2.94
Pu: 0.5000 0.0000 0.5000  6 Se 2.91-2.94
Pu: 0.5000 0.5000 0.5000  6 Se 2.81-2.95
Pu: 0.0000 0.5000 0.5000  6 Se 2.81-2.95
Rb: 0.0000 0.0000 0.0000  6 Se 3.47-3.49
Se: 0.2918 0.5836 0.7303  2 Pu 2.81
Se: 0.7308 0.4616 0.6976  3 Pu 2.89-2.94
Se: 0.7082 0.4164 0.2697  2 Pu 2.81
Se: 0.2419 0.0393 0.3266  1 Au 2.58
Se: 0.7581 0.9607 0.6734  1 Au 2.58
Rb: 0.5000 0.5000 0.0000  6 Se 3.41-3.59
Se: 0.7973 0.0393 0.3266  1 Au 2.58
Se: 0.2027 0.9607 0.6734  1 Au 2.58
Rb: 0.0000 0.5000 0.0000  6 Se 3.41-3.59



## RbPu4Au3Se12 (PBE)

Data for a geometry-optimized RbPu4Au3Se12 structure.

Final energy, eV for the cell shown: -124.9
Space-group type: Im-3
Raw formation energy, kJ/mol of atoms: -72

abc: 9.0231 9.0231 9.0231
angles: 109.47 109.47 109.47
Closest atoms and distances in Å follow each position.
Fractional positions:
Se: 0.1658 0.4860 0.3202  1 Au 2.55, 2 Pu 2.84
Se: 0.4860 0.3202 0.1658  1 Au 2.55, 2 Pu 2.84
Pu: 0.5000 0.0000 0.0000  6 Se 2.84
Se: 0.3202 0.1658 0.4860  1 Au 2.55, 2 Pu 2.84
Au: 0.5000 0.0000 0.5000  4 Se 2.55
Se: 0.8457 0.6798 0.1658  1 Au 2.55, 2 Pu 2.84
Se: 0.1658 0.8457 0.6798  1 Au 2.55, 2 Pu 2.84
Pu: 0.0000 0.5000 0.0000  6 Se 2.84
Au: 0.5000 0.5000 0.0000  4 Se 2.55
Se: 0.6798 0.1658 0.8457  1 Au 2.55, 2 Pu 2.84
Se: 0.3202 0.8342 0.1543  1 Au 2.55, 2 Pu 2.84
Se: 0.8342 0.5140 0.6798  1 Au 2.55, 2 Pu 2.84
Rb: 0.0000 0.0000 0.0000  12 Se 3.76
Se: 0.8342 0.1543 0.3202  1 Au 2.55, 2 Pu 2.84
Se: 0.5140 0.6798 0.8342  1 Au 2.55, 2 Pu 2.84
Pu: 0.5000 0.5000 0.5000  6 Se 2.84
Se: 0.6798 0.8342 0.5140  1 Au 2.55, 2 Pu 2.84
Se: 0.1543 0.3202 0.8342  1 Au 2.55, 2 Pu 2.84
Pu: 0.0000 0.0000 0.5000  6 Se 2.84
Au: 0.0000 0.5000 0.5000  4 Se 2.55



## RbPu2AuSe4 (PBE)

Data for a geometry-optimized RbPu2AuSe4 structure.

Final energy, eV for the cell shown: -112.7
Space-group type: Cmcm
Raw formation energy, kJ/mol of atoms: -115

abc: 4.2697 7.5137 14.6960
angles: 90.00 90.00 106.51
Closest atoms and distances in Å follow each position.
Fractional positions:
Pu: 0.3691 0.7382 0.9353  6 Se 2.90-3.00
Rb: 0.1194 0.2388 0.7500  6 Se 3.31-3.49
Au: 0.8420 0.6841 0.7500  4 Se 2.59-2.64
Rb: 0.8806 0.7612 0.2500  6 Se 3.31-3.49
Pu: 0.3691 0.7382 0.5647  6 Se 2.90-3.00
Se: 0.2622 0.5243 0.1023  1 Au 2.64, 3 Pu 2.90-2.91
Se: 0.0000 0.0000 0.0000  4 Pu 3.00
Se: 0.5560 0.1120 0.2500  2 Au 2.59
Au: 0.1580 0.3159 0.2500  4 Se 2.59-2.64
Se: 0.7378 0.4757 0.8977  1 Au 2.64, 3 Pu 2.90-2.91
Se: 0.2622 0.5243 0.3977  1 Au 2.64, 3 Pu 2.90-2.91
Se: 0.0000 0.0000 0.5000  4 Pu 3.00
Pu: 0.6309 0.2618 0.4353  6 Se 2.90-3.00
Se: 0.4440 0.8880 0.7500  2 Au 2.59
Pu: 0.6309 0.2618 0.0647  6 Se 2.90-3.00
Se: 0.7378 0.4757 0.6023  1 Au 2.64, 3 Pu 2.90-2.91